[1]
DFT (SCAN) results for a PBEsol-optimized structure of CdAsCl3.

* total magnetic moment: 0.4 μB per formula unit
* uncorrected formation energy: -0.33 eV per atom

Cell lengths 4.984, 4.984, 4.984 Å; angles 90.00, 90.00, 90.00 degrees
Space group Pm-3m (No. 221)
One atom of each set of equivalent atoms:
Cd (0.000, 0.000, 0.000) x1
As (0.500, 0.500, 0.500) x1
Cl (0.000, 0.500, 0.500) x3

[2]
DFT (SCAN) results for a PBEsol-optimized structure of CdAs2Cl.

* energy above the most stable polymorph in this dataset: 0.461 eV per formula unit
* total magnetic moment: 0.0 μB per formula unit
* uncorrected formation energy: -0.21 eV per atom

Cell lengths 3.505, 3.645, 15.064 Å; angles 90.00, 90.00, 90.00 degrees
Space group Imm2 (No. 44)
One atom of each set of equivalent atoms:
Cd (0.000, 0.000, 0.000) x2
As (0.000, 0.000, 0.404) x2
As (0.000, 0.500, 0.792) x2
Cl (0.000, 0.500, 0.118) x2

[3]
DFT (SCAN) results for a PBEsol-optimized structure of CdAs2Cl.

* energy above the most stable polymorph in this dataset: 0.000 eV per formula unit
* total magnetic moment: 0.0 μB per formula unit
* uncorrected formation energy: -0.32 eV per atom

Cell lengths 6.369, 3.665, 8.258 Å; angles 90.00, 104.76, 90.00 degrees
Space group Cm (No. 8)
One atom of each set of equivalent atoms:
Cd (0.000, 0.000, 0.000) x2
As (0.249, 0.500, 0.253) x2
As (0.474, 0.000, 0.427) x2
Cl (0.268, 0.000, 0.803) x2

[4]
DFT (SCAN) results for a PBEsol-optimized structure of Cd2AsCl2.

* total magnetic moment: 0.0 μB per formula unit
* uncorrected formation energy: -0.82 eV per atom

Cell lengths 7.830, 9.097, 8.253 Å; angles 90.00, 120.21, 90.00 degrees
Space group P2_1/c (No. 14)
One atom of each set of equivalent atoms:
Cd (0.043, 0.198, 0.211) x4
Cd (0.442, 0.581, 0.247) x4
As (0.071, 0.619, 0.061) x4
Cl (0.243, 0.529, 0.695) x4
Cl (0.420, 0.193, 0.916) x4

[5]
DFT (SCAN) results for a PBEsol-optimized structure of Cd2AsCl.

* energy above the most stable polymorph in this dataset: 1.785 eV per formula unit
* total magnetic moment: 0.0 μB per formula unit
* uncorrected formation energy: -0.06 eV per atom

Cell lengths 3.115, 3.115, 8.870 Å; angles 90.00, 90.00, 90.00 degrees
Space group P4mm (No. 99)
One atom of each set of equivalent atoms:
Cd (0.000, 0.000, 0.000) x1
Cd (0.500, 0.500, 0.252) x1
As (0.500, 0.500, 0.775) x1
Cl (0.000, 0.000, 0.440) x1

[6]
DFT (SCAN) results for a PBEsol-optimized structure of Cd3AsCl3.

* total magnetic moment: 0.0 μB per formula unit
* uncorrected formation energy: -0.86 eV per atom

Cell lengths 13.174, 8.062, 7.005 Å; angles 90.00, 90.00, 90.00 degrees
Space group Pnma (No. 62)
One atom of each set of equivalent atoms:
Cd (0.000, 0.000, 0.000) x4
Cd (0.088, 0.250, 0.493) x4
Cd (0.238, 0.750, 0.493) x4
As (0.084, 0.250, 0.852) x4
Cl (0.083, 0.750, 0.699) x4
Cl (0.168, 0.019, 0.296) x8

[7]
DFT (SCAN) results for a PBEsol-optimized structure of Cd2AsCl.

* energy above the most stable polymorph in this dataset: 1.733 eV per formula unit
* total magnetic moment: 0.0 μB per formula unit
* uncorrected formation energy: -0.08 eV per atom

Cell lengths 3.955, 4.936, 8.899 Å; angles 90.00, 90.00, 90.00 degrees
Space group Cmm2 (No. 35)
One atom of each set of equivalent atoms:
Cd (0.000, 0.000, 0.000) x2
Cd (0.000, 0.500, 0.253) x2
As (0.000, 0.500, 0.778) x2
Cl (0.000, 0.000, 0.445) x2

[8]
DFT (SCAN) results for a PBEsol-optimized structure of CdAs4Cl.

* total magnetic moment: 0.0 μB per formula unit
* uncorrected formation energy: 0.12 eV per atom

Cell lengths 8.150, 8.150, 8.150 Å; angles 90.00, 90.00, 90.00 degrees
Space group F-43m (No. 216)
One atom of each set of equivalent atoms:
Cd (0.000, 0.000, 0.000) x4
As (0.108, 0.108, 0.608) x16
Cl (0.250, 0.250, 0.250) x4

[9]
DFT (SCAN) results for a PBEsol-optimized structure of Cd2AsCl.

* energy above the most stable polymorph in this dataset: 0.232 eV per formula unit
* total magnetic moment: 0.0 μB per formula unit
* uncorrected formation energy: -0.45 eV per atom

Cell lengths 5.364, 4.597, 8.026 Å; angles 90.00, 90.00, 90.00 degrees
Space group Amm2 (No. 38)
One atom of each set of equivalent atoms:
Cd (0.000, 0.000, 0.000) x2
Cd (0.500, 0.000, 0.331) x2
As (0.500, 0.000, 0.999) x2
Cl (0.000, 0.000, 0.668) x2

[10]
DFT (SCAN) results for a PBEsol-optimized structure of Cd4AsCl.

* total magnetic moment: 0.0 μB per formula unit
* uncorrected formation energy: 0.04 eV per atom

Cell lengths 8.057, 8.057, 8.057 Å; angles 90.00, 90.00, 90.00 degrees
Space group F-43m (No. 216)
One atom of each set of equivalent atoms:
Cd (0.125, 0.125, 0.125) x16
As (0.000, 0.000, 0.500) x4
Cl (0.250, 0.250, 0.750) x4

[11]
DFT (SCAN) results for a PBEsol-optimized structure of Cd2AsCl.

* energy above the most stable polymorph in this dataset: 0.000 eV per formula unit
* total magnetic moment: 0.0 μB per formula unit
* uncorrected formation energy: -0.51 eV per atom

Cell lengths 5.975, 5.975, 12.812 Å; angles 90.00, 90.00, 90.00 degrees
Space group I-42d (No. 122)
One atom of each set of equivalent atoms:
Cd (0.216, 0.250, 0.125) x8
As (0.000, 0.000, 0.000) x4
Cl (0.000, 0.000, 0.500) x4

[12]
DFT (SCAN) results for a PBEsol-optimized structure of Cd2AsCl.

* energy above the most stable polymorph in this dataset: 2.422 eV per formula unit
* total magnetic moment: 0.0 μB per formula unit
* uncorrected formation energy: 0.10 eV per atom

Cell lengths 2.947, 5.024, 5.606 Å; angles 90.00, 90.00, 90.00 degrees
Space group Pmmm (No. 47)
One atom of each set of equivalent atoms:
Cd (0.000, 0.000, 0.000) x1
Cd (0.500, 0.500, 0.000) x1
As (0.000, 0.500, 0.500) x1
Cl (0.500, 0.000, 0.500) x1

[13]
DFT (SCAN) results for a PBEsol-optimized structure of Cd2AsCl.

* energy above the most stable polymorph in this dataset: 1.375 eV per formula unit
* total magnetic moment: 0.0 μB per formula unit
* uncorrected formation energy: -0.17 eV per atom

Cell lengths 4.179, 5.516, 7.558 Å; angles 90.00, 90.00, 90.00 degrees
Space group Cmmm (No. 65)
One atom of each set of equivalent atoms:
Cd (0.000, 0.000, 0.235) x4
As (0.000, 0.500, 0.000) x2
Cl (0.000, 0.500, 0.500) x2